CaCdGa2H (PBE, relaxed); N(E_F) = 5.6 states/eV/cell; size of the total moment = 0.0 Bohr magnetons per cell; DFT total energy = -0.10241 Ry/atom
1.0
-1.091 5.770 -0.402
-1.018 0.211 5.793
5.988 1.203 1.008
H Ca Ga Cd
1 1 2 1
direct
0.500 0.500 0.500 H
0.000 0.000 0.000 Ca
0.000 0.500 0.000 Ga
0.500 0.000 0.000 Ga
0.000 0.000 0.500 Cd